A | ## CaPrGa4 (PBE-GGA)

Data for crystalline CaPrGa4 at its relaxed geometry.

Lattice parameters (Å, degrees): 5.642 5.642 5.642 60.00 60.00 60.00
Atoms (fractional coordinates):
Ga (0.625, 0.625, 0.124)
Ga (0.625, 0.124, 0.625)
Ga (0.124, 0.625, 0.625)
Ga (0.625, 0.625, 0.625)
Pr (0.000, 0.000, 0.000)
Ca (0.250, 0.250, 0.250)

* N(E_F): 0.53 states/eV per atom
* spin magnetization: 0.00 μB/cell
* symmetry: F-43m (216)

B | ## CaPrGa4 (PBE-GGA)

Data for crystalline CaPrGa4 at its relaxed geometry.

Lattice parameters (Å, degrees): 4.288 4.288 8.132 105.29 105.29 90.00
Atoms (fractional coordinates):
Ga (0.667, 0.167, 0.335)
Ga (0.833, 0.333, 0.665)
Ga (0.417, 0.417, 0.835)
Ga (0.583, 0.583, 0.165)
Ca (0.250, 0.750, 0.500)
Pr (0.000, 0.000, 0.000)

* N(E_F): 0.63 states/eV per atom
* spin magnetization: 0.00 μB/cell
* symmetry: I-4m2 (119)

Which one sits at the bottom of the stability order? A does.

A | ## Ca2Ga2Pt (PBE-GGA)

Data for crystalline Ca2Ga2Pt at its relaxed geometry.

Lattice parameters (Å, degrees): 4.372 5.847 9.988 88.66 77.36 68.05
Atoms (fractional coordinates):
Ca (0.079, 0.727, 0.115)
Ca (0.921, 0.273, 0.885)
Ca (0.669, 0.331, 0.331)
Ca (0.331, 0.669, 0.669)
Ga (0.628, 0.858, 0.886)
Ga (0.372, 0.142, 0.114)
Ga (0.107, 0.230, 0.556)
Ga (0.893, 0.770, 0.444)
Pt (0.379, 0.905, 0.337)
Pt (0.621, 0.095, 0.663)

* N(E_F): 0.73 states/eV per atom
* spin magnetization: 0.00 μB/cell
* symmetry: C2/m (12)

B | ## Ca2Ga2Pt (PBE-GGA)

Data for crystalline Ca2Ga2Pt at its relaxed geometry.

Lattice parameters (Å, degrees): 6.847 6.847 4.682 90.00 90.00 90.00
Atoms (fractional coordinates):
Ca (0.320, 0.180, 0.500)
Ca (0.180, 0.680, 0.500)
Ca (0.820, 0.320, 0.500)
Ca (0.680, 0.820, 0.500)
Pt (0.000, 0.000, 0.000)
Pt (0.500, 0.500, 0.000)
Ga (0.632, 0.132, 0.000)
Ga (0.132, 0.368, 0.000)
Ga (0.868, 0.632, 0.000)
Ga (0.368, 0.868, 0.000)

* N(E_F): 0.75 states/eV per atom
* spin magnetization: 0.00 μB/cell
* symmetry: P4/mbm (127)

Which one sits at the bottom of the stability order? B does.

A | ## Ca2Ga2Pt (PBE-GGA)

Data for crystalline Ca2Ga2Pt at its relaxed geometry.

Lattice parameters (Å, degrees): 3.677 3.677 9.188 78.46 78.46 90.00
Atoms (fractional coordinates):
Pt (0.000, 0.000, 0.000)
Ga (0.250, 0.750, 0.500)
Ga (0.750, 0.250, 0.500)
Ca (0.406, 0.406, 0.189)
Ca (0.594, 0.594, 0.811)

* N(E_F): 0.37 states/eV per atom
* spin magnetization: 0.00 μB/cell
* symmetry: I4/mmm (139)

B | ## Ca2Ga2Pt (PBE-GGA)

Data for crystalline Ca2Ga2Pt at its relaxed geometry.

Lattice parameters (Å, degrees): 3.904 4.267 7.203 107.23 90.00 90.00
Atoms (fractional coordinates):
Ca (0.000, 0.683, 0.366)
Ca (0.000, 0.936, 0.873)
Ga (0.500, 0.304, 0.608)
Ga (0.500, 0.507, 0.014)
Pt (0.500, 0.112, 0.224)

* N(E_F): 0.46 states/eV per atom
* spin magnetization: 0.00 μB/cell
* symmetry: Amm2 (38)

C | ## Ca2Ga2Pt (PBE-GGA)

Data for crystalline Ca2Ga2Pt at its relaxed geometry.

Lattice parameters (Å, degrees): 5.886 5.886 5.490 57.59 57.59 90.00
Atoms (fractional coordinates):
Pt (0.000, 0.000, 0.000)
Ga (0.339, 0.339, 0.321)
Ga (0.661, 0.661, 0.679)
Ca (0.750, 0.250, 0.500)
Ca (0.250, 0.750, 0.500)

* N(E_F): 0.29 states/eV per atom
* spin magnetization: 0.00 μB/cell
* symmetry: I4/mmm (139)

Which one sits at the bottom of the stability order? C does.

A | ## Ca2GaPt (PBE-GGA)

Data for crystalline Ca2GaPt at its relaxed geometry.

Lattice parameters (Å, degrees): 8.000 8.000 6.516 52.13 52.13 90.00
Atoms (fractional coordinates):
Ca (0.875, 0.907, 0.750)
Ca (0.657, 0.125, 0.250)
Ca (0.375, 0.343, 0.750)
Ca (0.093, 0.625, 0.250)
Pt (0.750, 0.250, 0.500)
Pt (0.000, 0.000, 0.000)
Ga (0.250, 0.750, 0.500)
Ga (0.500, 0.500, 0.000)

* N(E_F): 0.91 states/eV per atom
* spin magnetization: 0.00 μB/cell
* symmetry: I-42d (122)

B | ## Ca2GaPt (PBE-GGA)

Data for crystalline Ca2GaPt at its relaxed geometry.

Lattice parameters (Å, degrees): 3.615 3.615 7.040 90.00 90.00 90.00
Atoms (fractional coordinates):
Ca (0.000, 0.000, 0.766)
Ca (0.000, 0.000, 0.234)
Pt (0.500, 0.500, 0.000)
Ga (0.500, 0.500, 0.500)

* N(E_F): 0.70 states/eV per atom
* spin magnetization: 0.00 μB/cell
* symmetry: P4/mmm (123)

Which one sits at the bottom of the stability order? A does.

A | ## CaTbGaPt (PBE-GGA)

Data for crystalline CaTbGaPt at its relaxed geometry.

Lattice parameters (Å, degrees): 4.004 4.171 6.069 90.00 109.26 90.00
Atoms (fractional coordinates):
Pt (0.578, 0.500, 0.156)
Ca (0.850, 0.500, 0.699)
Tb (0.141, 0.000, 0.282)
Ga (0.432, 0.000, 0.863)

* N(E_F): 0.61 states/eV per atom
* spin magnetization: 0.00 μB/cell
* symmetry: Amm2 (38)

B | ## CaTbGaPt (PBE-GGA)

Data for crystalline CaTbGaPt at its relaxed geometry.

Lattice parameters (Å, degrees): 5.023 5.023 5.023 60.00 60.00 60.00
Atoms (fractional coordinates):
Ca (0.000, 0.000, 0.000)
Pt (0.750, 0.750, 0.750)
Tb (0.500, 0.500, 0.500)
Ga (0.250, 0.250, 0.250)

* N(E_F): 0.42 states/eV per atom
* spin magnetization: 0.00 μB/cell
* symmetry: F-43m (216)

Which one sits at the bottom of the stability order? B does.

A | ## CaPuGa (PBE-GGA)

Data for crystalline CaPuGa at its relaxed geometry.

Lattice parameters (Å, degrees): 3.525 3.525 7.028 104.52 104.52 90.00
Site moments in Bohr magnetons follow the coordinates.
Atoms (fractional coordinates):
Pu (0.306, 0.306, 0.612)  5.59
Ca (0.024, 0.024, 0.049)  0.05
Ga (0.670, 0.670, 0.340)  -0.04

* N(E_F): 2.53 states/eV per atom
* spin magnetization: 6.27 μB/cell
* symmetry: I4mm (107)

B | ## CaPuGa (PBE-GGA)

Data for crystalline CaPuGa at its relaxed geometry.

Lattice parameters (Å, degrees): 3.548 9.415 8.757 95.48 90.00 90.00
Atoms (fractional coordinates):
Ca (0.250, 0.114, 0.365)
Ca (0.750, 0.386, 0.635)
Ca (0.250, 0.614, 0.365)
Ca (0.750, 0.886, 0.635)
Pu (0.750, 0.579, 0.020)
Pu (0.750, 0.079, 0.020)
Pu (0.250, 0.921, 0.980)
Pu (0.250, 0.421, 0.980)
Ga (0.750, 0.350, 0.243)
Ga (0.250, 0.650, 0.757)
Ga (0.750, 0.850, 0.243)
Ga (0.250, 0.150, 0.757)

* N(E_F): 1.43 states/eV per atom
* spin magnetization: 0.19 μB/cell
* symmetry: P2_1/m (11)

Which one sits at the bottom of the stability order? B does.